## Ho6AlCo2 (PBE)

Data for Ho6AlCo2 after structural relaxation.

Structure (POSCAR):
```
Ho6AlCo2
1.0
-4.606 4.727 4.943
4.606 -4.727 4.943
4.606 4.727 -4.943
Al Co Ho
2 4 12
direct
0.000 0.000 0.000
0.500 0.500 0.000
0.669 0.000 0.669
0.885 0.385 0.500
0.331 0.000 0.331
0.115 0.615 0.500
0.324 0.012 0.688
0.676 0.364 0.688
0.817 0.283 0.100
0.183 0.717 0.900
0.961 0.762 0.198
0.324 0.636 0.312
0.436 0.238 0.198
0.183 0.283 0.466
0.564 0.762 0.802
0.039 0.238 0.802
0.676 0.988 0.312
0.817 0.717 0.534
```

Final energy, eV for the cell shown: -95.55
Space-group type: Immm
Volume, Å³ per cell: 430.5
Magnetization, μB per cell: 0.01